(1)
Here is a geometry-optimized YbPdO3 structure from the Alexandria database. Energies are from PBE-GGA.

Lattice parameters (Å, degrees): 3.981 3.981 3.981 90.00 90.00 90.00
Positions (direct):
Yb  0.000  0.000  0.000
Pd  0.500  0.500  0.500
O  0.500  0.500  0.000
O  0.500  0.000  0.500
O  0.000  0.500  0.500

Properties
Space-group type: Pm-3m, No. 221
E, eV/atom: -5.578


(2)
Here is a geometry-optimized NdDy2Pa structure from the Alexandria database. Energies are from PBE-GGA.

Lattice parameters (Å, degrees): 3.415 3.415 12.336 82.04 82.04 60.00
Positions (direct):
Pa  0.500  0.500  0.500
Nd  0.000  0.000  0.000
Dy  0.093  0.093  0.721
Dy  0.907  0.907  0.279

Properties
Space-group type: R-3m, No. 166
Offset from the most stable computed form, meV/atom: 75


(3)
Here is a geometry-optimized KAlInI2 structure from the Alexandria database. Energies are from PBE-GGA.

Lattice parameters (Å, degrees): 6.061 6.271 6.061 90.00 90.00 90.00
Positions (direct):
I  0.000  0.000  0.500
I  0.500  0.000  0.000
K  0.000  0.500  0.000
Al  0.000  0.000  0.000
In  0.500  0.500  0.500

Properties
Space-group type: P4/mmm, No. 123
E, eV/atom: -2.142


Listing ρ for the structures above in their given order: 8.6 9.5 3.1 Mg/m³.